Entry 1:
YNi2W | Alexandria | PBE | optimized geometry; formation energy from the elements = 0.940 eV/f.u.; magnetic moment = 0.051 μB/atom; excess energy over the best structure of this formula in the dataset = 304 meV/atom
1.0
0.0000 3.1805 3.1805
3.1805 0.0000 3.1805
3.1805 3.1805 0.0000
Y Ni W
1 2 1
Cartesian
0.0000 0.0000 0.0000
1.5903 1.5903 1.5903
4.7708 4.7708 4.7708
3.1805 3.1805 3.1805



Entry 2:
MnAgAu | Alexandria | PBE | optimized geometry; formation energy from the elements = 0.053 eV/f.u.; magnetic moment = 1.355 μB/atom; excess energy over the best structure of this formula in the dataset = 0 meV/atom
1.0
-1.6943 1.6943 4.4262
1.6943 -1.6943 4.4262
1.6943 1.6943 -4.4262
Mn Ag Au
1 1 1
Cartesian
0.0000 0.0000 0.0000
0.0000 0.0000 5.9037
0.0000 0.0000 3.0567



Entry 3:
TmAl4Ga | Alexandria | PBE | optimized geometry; formation energy from the elements = -1.476 eV/f.u.; magnetic moment = 0.000 μB/atom; excess energy over the best structure of this formula in the dataset = 0 meV/atom
1.0
2.0808 -6.2663 0.0000
2.0808 6.2663 0.0000
0.0000 0.0000 4.2026
Tm Al Ga
1 4 1
Cartesian
0.0000 0.0000 0.0000
2.0808 4.0870 2.1013
2.0808 2.2080 0.0000
2.0808 -2.2080 0.0000
2.0808 -4.0870 2.1013
2.0808 0.0000 2.1013



Entry 4:
Dy2YSc2 | Alexandria | PBE | optimized geometry; formation energy from the elements = 0.329 eV/f.u.; magnetic moment = 0.000 μB/atom; excess energy over the best structure of this formula in the dataset = 16 meV/atom
1.0
9.0933 0.0000 0.0000
0.0000 9.0933 0.0000
0.0000 0.0000 3.5130
Dy Y Sc
4 2 4
Cartesian
1.5971 2.9496 0.0000
2.9496 7.4962 0.0000
6.1437 1.5971 0.0000
7.4962 6.1437 0.0000
0.0000 0.0000 1.7565
4.5466 4.5466 1.7565
1.0923 5.6390 1.7565
3.4543 1.0923 1.7565
5.6390 8.0009 1.7565
8.0009 3.4543 1.7565



Entry 5:
ZnIrRu2 | Alexandria | PBE | optimized geometry; formation energy from the elements = -0.025 eV/f.u.; magnetic moment = 0.000 μB/atom
1.0
2.7522 0.0000 0.0000
0.0000 2.7522 0.0000
0.0000 0.0000 7.4481
Zn Ir Ru
1 1 2
Cartesian
0.0000 0.0000 0.0000
1.3761 1.3761 1.8850
0.0000 0.0000 3.7639
1.3761 1.3761 5.5499



Entry 6:
Pr2GdSn | Alexandria | PBE | optimized geometry; formation energy from the elements = -1.451 eV/f.u.; magnetic moment = 1.887 μB/atom; excess energy over the best structure of this formula in the dataset = 89 meV/atom
1.0
4.2937 0.0000 0.0000
0.0000 4.2937 0.0000
0.0000 0.0000 6.8400
Pr Gd Sn
2 1 1
Cartesian
0.0000 0.0000 1.5747
0.0000 0.0000 5.2653
2.1468 2.1468 3.4200
2.1468 2.1468 0.0000



Entry 7:
Ga2SiMo2 | Alexandria | PBE | optimized geometry; formation energy (no corrections) = -0.03 eV/atom; magnetic moment = 0.000 μB/atom
1.0
6.5090 0.0000 0.0000
0.0000 6.5090 0.0000
0.0000 0.0000 3.8048
Ga Si Mo
4 2 4
Cartesian
0.9669 2.2876 0.0000
2.2876 5.5422 0.0000
4.2214 0.9669 0.0000
5.5422 4.2214 0.0000
0.0000 0.0000 1.9024
3.2545 3.2545 1.9024
1.0104 4.2649 1.9024
2.2441 1.0104 1.9024
4.2649 5.4986 1.9024
5.4986 2.2441 1.9024



Entry 8:
PAuNO2 | Alexandria | PBE | optimized geometry; formation energy (no corrections) = 1.42 eV/atom; magnetic moment = 0.000 μB/atom
1.0
4.0143 0.0000 0.0000
0.0000 4.0143 0.0000
0.0000 0.0000 4.0522
P Au N O
1 1 1 2
Cartesian
0.0000 0.0000 0.0000
2.0071 2.0071 2.0261
2.0071 2.0071 0.0000
0.0000 2.0071 2.0261
2.0071 0.0000 2.0261



Entry 9:
PuSc2Co | Alexandria | PBE | optimized geometry; formation energy from the elements = 0.219 eV/f.u.; magnetic moment = 1.586 μB/atom; excess energy over the best structure of this formula in the dataset = 173 meV/atom
1.0
1.6882 0.9747 8.8409
-1.6882 0.9747 8.8409
0.0000 -1.9493 8.8409
Pu Sc Co
1 2 1
Cartesian
0.0000 0.0000 0.0000
0.0000 0.0000 6.0439
0.0000 0.0000 11.7107
0.0000 0.0000 22.1387



Entry 10:
ScFe2Pd2 | Alexandria | PBE | optimized geometry; formation energy from the elements = 0.127 eV/f.u.; magnetic moment = 0.000 μB/atom; excess energy over the best structure of this formula in the dataset = 173 meV/atom
1.0
-1.6402 1.6402 7.0367
1.6402 -1.6402 7.0367
1.6402 1.6402 -7.0367
Sc Fe Pd
1 2 2
Cartesian
0.0000 0.0000 0.0000
1.6402 0.0000 3.5184
0.0000 1.6402 3.5184
0.0000 0.0000 5.5930
0.0000 0.0000 8.4805



Entry 11:
ErGeAu | Alexandria | PBE | optimized geometry; formation energy from the elements = -2.283 eV/f.u.; magnetic moment = 0.000 μB/atom
1.0
4.4392 0.0000 0.0000
0.0000 14.1800 0.0000
0.0000 0.0000 7.8024
Er Ge Au
8 8 8
Cartesian
1.1098 0.0339 1.7052
1.1098 3.5450 2.2746
1.1098 7.0561 1.7052
1.1098 10.6350 2.2535
3.3294 3.5450 5.5489
3.3294 7.1239 6.0972
3.3294 10.6350 5.5279
3.3294 14.1462 6.0972
1.1098 2.0894 7.0844
1.1098 5.0006 7.0844
1.1098 8.6975 4.6244
1.1098 12.5726 4.6244
3.3294 1.6075 3.1781
3.3294 5.4825 3.1781
3.3294 9.1794 0.7180
3.3294 12.0906 0.7180
1.1098 1.3995 4.5548
1.1098 5.6905 4.5548
1.1098 9.0771 7.2052
1.1098 12.1929 7.2052
3.3294 1.9871 0.5972
3.3294 5.1029 0.5972
3.3294 8.4896 3.2476
3.3294 12.7805 3.2476



Entry 12:
SrTeN2 | Alexandria | PBE | optimized geometry; formation energy (no corrections) = 0.27 eV/atom; magnetic moment = 0.000 μB/atom
1.0
-2.6899 2.6899 5.6718
2.6899 -2.6899 5.6718
2.6899 2.6899 -5.6718
Sr Te N
2 2 4
Cartesian
0.0000 0.0000 0.0000
0.0000 2.6899 2.8359
2.6899 0.0000 2.8359
0.0000 0.0000 5.6718
1.3449 -1.0166 4.2539
1.6733 1.3449 1.4180
1.3449 3.7065 -1.4180
1.0166 1.3449 7.0898



Number 1: electronic total energy -7.5099 eV/atom. Number 2: electronic total energy -5.0817 eV/atom. Number 3: electronic total energy -3.9908 eV/atom. Number 4: electronic total energy -5.6005 eV/atom. Number 5: electronic total energy -7.1778 eV/atom. Number 6: electronic total energy -7.2733 eV/atom. Number 7: electronic total energy -6.6607 eV/atom. Number 8: electronic total energy -3.9691 eV/atom. Number 9: electronic total energy -8.4706 eV/atom. Number 10: electronic total energy -6.7031 eV/atom. Number 11: electronic total energy -4.9135 eV/atom. Number 12: electronic total energy -5.1033 eV/atom.